(1)
# Se2ClO | Alexandria via LeMat-Bulk | GGA-PBE | relaxed
data_Se2ClO
_chemical_formula_sum 'Se8 Cl4 O4'
_cell_length_a 4.871
_cell_length_b 4.871
_cell_length_c 14.126
_cell_angle_alpha 90.00
_cell_angle_beta 90.00
_cell_angle_gamma 90.00
_symmetry_space_group_name_H-M 'I -4 2 d'
_symmetry_Int_Tables_number 122
_symmetry_space_group_name_Hall 'I -4 2bw'
loop_
_atom_site_label
_atom_site_fract_x
_atom_site_fract_y
_atom_site_fract_z
_atom_site_occupancy
Se1 0.095 0.250 0.125 1
Cl1 0.000 0.000 0.500 1
O1 0.000 0.000 0.000 1
# - raw formation energy (eV/atom) = 0.18
# - energy relative to the lowest polymorph listed for this composition (meV/atom) = 0



(2)
# Se2ClO | Alexandria via LeMat-Bulk | GGA-PBE | relaxed
data_Se2ClO
_chemical_formula_sum 'Se6 Cl3 O3'
_cell_length_a 3.0988
_cell_length_b 3.0988
_cell_length_c 24.7970
_cell_angle_alpha 90.00
_cell_angle_beta 90.00
_cell_angle_gamma 120.00
_symmetry_space_group_name_H-M 'R -3 m'
_symmetry_Int_Tables_number 166
_symmetry_space_group_name_Hall '-R 3 2"'
loop_
_atom_site_label
_atom_site_fract_x
_atom_site_fract_y
_atom_site_fract_z
_atom_site_occupancy
Se1 0.0000 0.0000 0.0995 1
Cl1 0.0000 0.0000 0.0000 1
O1 0.0000 0.0000 0.5000 1
# - raw formation energy (eV/atom) = 0.46
# - energy relative to the lowest polymorph listed for this composition (meV/atom) = 284



(3)
# SmSeClO4 | Alexandria via LeMat-Bulk | GGA-PBE | relaxed
data_SmSeClO4
_chemical_formula_sum 'Sm4 Se4 Cl4 O16'
_cell_length_a 10.140
_cell_length_b 7.298
_cell_length_c 6.788
_cell_angle_alpha 90.00
_cell_angle_beta 104.43
_cell_angle_gamma 90.00
_symmetry_space_group_name_H-M 'C 1 2/m 1'
_symmetry_Int_Tables_number 12
loop_
_symmetry_equiv_pos_as_xyz
'x,y,z'
'-x,-y,-z'
'-x,y,-z'
'x,-y,z'
'x+1/2,y+1/2,z'
'-x+1/2,-y+1/2,-z'
'-x+1/2,y+1/2,-z'
'x+1/2,-y+1/2,z'
loop_
_atom_site_label
_atom_site_fract_x
_atom_site_fract_y
_atom_site_fract_z
_atom_site_occupancy
Sm1 0.223 0.000 0.128 1
Se1 0.137 0.500 0.269 1
Cl1 0.020 0.000 0.767 1
O1 0.028 0.500 0.757 1
O2 0.188 0.324 0.140 1
O3 0.224 0.500 0.508 1
# - raw formation energy (eV/atom) = -1.70